[1]
VASP calculation (GGA-PBE) on a geometry-optimized KTaTeI2 structure.

a = 5.975 Å, b = 5.975 Å, c = 6.142 Å
α = 90.00°, β = 90.00°, γ = 90.00°
Space group P4/mmm (No. 123)
Asymmetric unit:
K: 0.000 0.000 0.000
Ta: 0.500 0.500 0.500
Te: 0.000 0.000 0.500
I: 0.000 0.500 0.000

Results
DOS(E_F): 2.3925 states/eV per atom
Formation energy (no corrections): 1467 meV/atom
Energy above the most stable polymorph in this dataset: 1786 meV per atom


[2]
VASP calculation (GGA-PBE) on a geometry-optimized KZrTa2I structure.

a = 5.075 Å, b = 5.075 Å, c = 6.312 Å
α = 90.00°, β = 90.00°, γ = 90.00°
Space group P4/mmm (No. 123)
Asymmetric unit:
K: 0.000 0.000 0.000
Zr: 0.500 0.500 0.500
Ta: 0.000 0.500 0.500
I: 0.500 0.500 0.000

Results
DOS(E_F): 1.1035 states/eV per atom
Formation energy (no corrections): 1388 meV/atom


[3]
VASP calculation (GGA-PBE) on a geometry-optimized KTb2I6 structure.

a = 7.6934 Å, b = 7.6934 Å, c = 8.3073 Å
α = 90.00°, β = 90.00°, γ = 120.00°
Space group P-31m (No. 162)
Asymmetric unit:
K: 0.0000 0.0000 0.0000
Tb: 0.3333 0.6667 0.5000
I: 0.0000 0.3543 0.7194

Results
DOS(E_F): 0.6004 states/eV per atom
Formation energy (no corrections): -1322 meV/atom


[4]
VASP calculation (GGA-PBE) on a geometry-optimized KTbTl2I6 structure.

a = 8.6318 Å, b = 8.6318 Å, c = 22.5820 Å
α = 90.00°, β = 90.00°, γ = 120.00°
Space group R3 (No. 146, hexagonal axes)
Asymmetric unit:
K: 0.0000 0.0000 0.0000
Tb: 0.0000 0.0000 0.4924
Tl: 0.0000 0.0000 0.2950
Tl: 0.0000 0.0000 0.8044
I: 0.0209 0.3931 0.2334
I: 0.0583 0.6789 0.0755

Results
DOS(E_F): 0.0000 states/eV per atom
Formation energy (no corrections): -1121 meV/atom


[5]
VASP calculation (GGA-PBE) on a geometry-optimized K2TcI structure.

a = 8.666 Å, b = 8.666 Å, c = 8.666 Å
α = 90.00°, β = 90.00°, γ = 90.00°
Space group Fm-3m (No. 225)
Asymmetric unit:
K: 0.250 0.250 0.250
Tc: 0.000 0.000 0.000
I: 0.000 0.000 0.500

Results
DOS(E_F): 1.4858 states/eV per atom
Formation energy (no corrections): 647 meV/atom
Energy above the most stable polymorph in this dataset: 41 meV per atom


[6]
VASP calculation (GGA-PBE) on a geometry-optimized KTc2I structure.

a = 4.749 Å, b = 4.749 Å, c = 19.400 Å
α = 90.00°, β = 90.00°, γ = 90.00°
Space group I-42d (No. 122)
Asymmetric unit:
K: 0.000 0.000 0.000
Tc: 0.048 0.750 0.625
I: 0.000 0.000 0.500

Results
DOS(E_F): 1.3295 states/eV per atom
Formation energy (no corrections): 1051 meV/atom
Energy above the most stable polymorph in this dataset: 0 meV per atom


[7]
VASP calculation (GGA-PBE) on a geometry-optimized KTc2I structure.

a = 6.719 Å, b = 6.719 Å, c = 6.719 Å
α = 90.00°, β = 90.00°, γ = 90.00°
Space group Fm-3m (No. 225)
Asymmetric unit:
K: 0.000 0.000 0.000
Tc: 0.250 0.250 0.250
I: 0.000 0.000 0.500

Results
DOS(E_F): 1.5317 states/eV per atom
Formation energy (no corrections): 1671 meV/atom
Energy above the most stable polymorph in this dataset: 621 meV per atom


[8]
VASP calculation (GGA-PBE) on a geometry-optimized K2TcI structure.

a = 12.781 Å, b = 12.781 Å, c = 5.071 Å
α = 90.00°, β = 90.00°, γ = 90.00°
Space group I-42d (No. 122)
Asymmetric unit:
K: 0.030 0.250 0.125
Tc: 0.000 0.000 0.000
I: 0.000 0.000 0.500

Results
DOS(E_F): 0.5616 states/eV per atom
Formation energy (no corrections): 606 meV/atom
Energy above the most stable polymorph in this dataset: 0 meV per atom


[9]
VASP calculation (GGA-PBE) on a geometry-optimized K3TcI structure.

a = 6.612 Å, b = 6.612 Å, c = 6.612 Å
α = 90.00°, β = 90.00°, γ = 90.00°
Space group Pm-3m (No. 221)
Asymmetric unit:
K: 0.000 0.000 0.500
Tc: 0.500 0.500 0.500
I: 0.000 0.000 0.000

Results
DOS(E_F): 5.4609 states/eV per atom
Formation energy (no corrections): 597 meV/atom


[10]
VASP calculation (GGA-PBE) on a geometry-optimized K2TcI6 structure.

a = 8.008 Å, b = 8.314 Å, c = 13.807 Å
α = 90.00°, β = 124.97°, γ = 90.00°
Space group P2_1/c (No. 14)
Asymmetric unit:
K: 0.227 0.072 0.250
Tc: 0.500 0.000 0.000
I: 0.182 0.188 0.962
I: 0.282 0.724 0.969
I: 0.333 0.003 0.762

Results
Formation energy (no corrections): -709 meV/atom


[11]
VASP calculation (GGA-PBE) on a geometry-optimized KTcTeI2 structure.

a = 5.866 Å, b = 5.866 Å, c = 5.086 Å
α = 90.00°, β = 90.00°, γ = 90.00°
Space group P4/mmm (No. 123)
Asymmetric unit:
K: 0.000 0.000 0.000
Tc: 0.500 0.500 0.500
Te: 0.500 0.500 0.000
I: 0.000 0.500 0.500

Results
DOS(E_F): 0.6228 states/eV per atom
Formation energy (no corrections): -205 meV/atom
Energy above the most stable polymorph in this dataset: 0 meV per atom


[12]
VASP calculation (GGA-PBE) on a geometry-optimized KTcTe2I structure.

a = 6.020 Å, b = 6.020 Å, c = 6.084 Å
α = 90.00°, β = 90.00°, γ = 90.00°
Space group P4/mmm (No. 123)
Asymmetric unit:
K: 0.000 0.000 0.000
Tc: 0.500 0.500 0.500
Te: 0.000 0.500 0.000
I: 0.000 0.000 0.500

Results
DOS(E_F): 1.6093 states/eV per atom
Formation energy (no corrections): 1350 meV/atom
Energy above the most stable polymorph in this dataset: 1485 meV per atom